[1]
Computed, not measured: an optimized crystal structure of BeTcOs2 at the PBE-GGA level of DFT.

Cell lengths 2.7161, 3.9117, 5.1224 Å; angles 90.00, 103.78, 90.00 degrees
Sites, in units of the cell vectors:
1 Be 0.0000 0.0000 0.0000
2 Tc 0.0000 0.0000 0.5000
3 Os 0.3775 0.5000 0.2293
4 Os 0.6225 0.5000 0.7707

Calculated values
ΔH_f (0 K): 0.07 eV/atom
Space group: No. 10


[2]
Computed, not measured: an optimized crystal structure of KAlSi2 at the PBE-GGA level of DFT.

Cell lengths 3.4800, 3.4800, 7.2487 Å; angles 90.00, 90.00, 90.00 degrees
Sites, in units of the cell vectors:
1 K 0.0000 0.0000 0.0000
2 Al 0.0000 0.0000 0.5000
3 Si 0.5000 0.5000 0.3366
4 Si 0.5000 0.5000 0.6634

Calculated values
Uncorrected formation energy: 0.123 eV per atom
Space group: No. 123


[3]
Computed, not measured: an optimized crystal structure of CeHo3Pu2P6 at the PBE-GGA level of DFT.

Cell lengths 6.9478, 6.9478, 6.9228 Å; angles 99.63, 99.63, 119.99 degrees
Sites, in units of the cell vectors:
1 Ce 0.0000 0.0000 0.0000
2 Ho 0.1658 0.8342 0.5000
3 Ho 0.5000 0.5000 0.5000
4 Ho 0.8342 0.1658 0.5000
5 Pu 0.3332 0.6668 0.0000
6 Pu 0.6668 0.3332 0.0000
7 P 0.0833 0.4201 0.2495
8 P 0.2538 0.2538 0.7505
9 P 0.4201 0.0833 0.2495
10 P 0.5799 0.9167 0.7505
11 P 0.7462 0.7462 0.2495
12 P 0.9167 0.5799 0.7505

Calculated values
ΔH_f (0 K): -1.44 eV/atom
Space group: No. 12


Number 1: volume 52.9 Å³/cell. Number 2: volume 87.8 Å³/cell. Number 3: volume 272.8 Å³/cell.